Below is crystalline AcPRu at its relaxed geometry, with properties calculated at the PBE level.

abc: 4.132 4.132 4.540
angles: 90.00 90.00 120.00
Sites, in units of the cell vectors:
1 Ac 0.000 0.000 0.000
2 P 0.333 0.667 0.500
3 Ru 0.667 0.333 0.500

Crystal system = hexagonal
Energy relative to the elements = -231 kJ/mol of formula units
Energy relative to the lowest polymorph listed for this composition = 143.3 meV per atom
Calculated total energy = -7.062 eV/atom
Fermi-level density of states = 3.8 states/eV/cell